*1*
A plane-wave DFT calculation with PBE was carried out for a relaxed structure of RbInSnHg.

Results
magnetization	0.000	Bohr magnetons per cell

Cell: 8.496 4.940 7.878 Å, 90.00 111.06 90.00°
Space group Cm (No. 8)
Asymmetric unit:
Rb: 0.000 0.000 0.000 x2
In: 0.314 0.500 0.437 x2
Sn: 0.456 0.000 0.367 x2
Hg: 0.231 0.000 0.689 x2

---

*2*
A plane-wave DFT calculation with PBE was carried out for a relaxed structure of RbInSnHg.

Results
magnetization	0.000	Bohr magnetons per cell

Cell: 7.919 7.919 7.919 Å, 90.00 90.00 90.00°
Space group F-43m (No. 216)
Asymmetric unit:
Rb: 0.000 0.000 0.000 x4
In: 0.250 0.250 0.750 x4
Sn: 0.000 0.000 0.500 x4
Hg: 0.250 0.250 0.250 x4

---

Stability, lowest: *2*

---

*1*
A plane-wave DFT calculation with PBE was carried out for a relaxed structure of In4HgRh.

Results
magnetization	0.000	Bohr magnetons per cell

Cell: 8.353 8.353 8.353 Å, 90.00 90.00 90.00°
Space group F-43m (No. 216)
Asymmetric unit:
In: 0.124 0.124 0.124 x16
Hg: 0.000 0.000 0.500 x4
Rh: 0.250 0.250 0.750 x4

---

*2*
A plane-wave DFT calculation with PBE was carried out for a relaxed structure of In4HgRh.

Results
magnetization	0.000	Bohr magnetons per cell

Cell: 9.469 10.190 5.902 Å, 90.00 96.96 90.00°
Space group C2/c (No. 15)
Asymmetric unit:
In: 0.103 0.209 0.025 x8
In: 0.232 0.099 0.548 x8
Hg: 0.000 0.451 0.750 x4
Rh: 0.000 0.002 0.250 x4

---

Stability, lowest: *1*

---

*1*
A plane-wave DFT calculation with PBE was carried out for a relaxed structure of Sr2InHgRh.

Results
magnetization	0.000	Bohr magnetons per cell

Cell: 6.010 6.010 5.051 Å, 90.00 90.00 90.00°
Space group P4/mmm (No. 123)
Asymmetric unit:
Sr: 0.000 0.500 0.000 x2
In: 0.000 0.000 0.500 x1
Hg: 0.500 0.500 0.000 x1
Rh: 0.500 0.500 0.500 x1

---

*2*
A plane-wave DFT calculation with PBE was carried out for a relaxed structure of Sr2InHgRh.

Results
magnetization	0.000	Bohr magnetons per cell

Cell: 5.761 5.761 5.152 Å, 90.00 90.00 90.00°
Space group P4/mmm (No. 123)
Asymmetric unit:
Sr: 0.000 0.500 0.000 x2
In: 0.000 0.000 0.500 x1
Hg: 0.500 0.500 0.500 x1
Rh: 0.000 0.000 0.000 x1

---

Stability, lowest: *1*

---

*1*
A plane-wave DFT calculation with PBE was carried out for a relaxed structure of TlIn2HgRh.

Results
magnetization	0.000	Bohr magnetons per cell

Cell: 5.139 5.139 5.353 Å, 90.00 90.00 90.00°
Space group P4/mmm (No. 123)
Asymmetric unit:
Tl: 0.000 0.000 0.000 x1
In: 0.000 0.500 0.500 x2
Hg: 0.500 0.500 0.000 x1
Rh: 0.500 0.500 0.500 x1

---

*2*
A plane-wave DFT calculation with PBE was carried out for a relaxed structure of TlIn2HgRh.

Results
magnetization	0.000	Bohr magnetons per cell

Cell: 5.191 5.191 5.296 Å, 90.00 90.00 90.00°
Space group P4/mmm (No. 123)
Asymmetric unit:
Tl: 0.000 0.000 0.000 x1
In: 0.000 0.500 0.500 x2
Hg: 0.500 0.500 0.000 x1
Rh: 0.000 0.000 0.500 x1

---

Stability, lowest: *1*

---

*1*
A plane-wave DFT calculation with PBE was carried out for a relaxed structure of InHgRu.

Results
magnetization	0.000	Bohr magnetons per cell

Cell: 4.5360 4.5360 3.2210 Å, 90.00 90.00 120.00°
Space group P3m1 (No. 156)
Asymmetric unit:
In: 0.0000 0.0000 0.0000 x1
Hg: 0.3333 0.6667 0.6545 x1
Ru: 0.6667 0.3333 0.2636 x1

---

*2*
A plane-wave DFT calculation with PBE was carried out for a relaxed structure of InHgRu.

Results
magnetization	0.000	Bohr magnetons per cell

Cell: 3.293 3.293 10.684 Å, 90.00 90.00 90.00°
Space group I4mm (No. 107)
Asymmetric unit:
In: 0.000 0.000 0.000 x2
Hg: 0.000 0.000 0.704 x2
Ru: 0.000 0.000 0.366 x2

---

Stability, lowest: *1*

---

*1*
A plane-wave DFT calculation with PBE was carried out for a relaxed structure of InHgS.

Results
magnetization	0.000	Bohr magnetons per cell

Cell: 3.940 5.350 8.811 Å, 103.35 102.79 90.01°
Space group P-1 (No. 2)
Asymmetric unit:
In: 0.166 0.045 0.329 x2
Hg: 0.055 0.348 0.109 x2
S: 0.319 0.256 0.639 x2

---

*2*
A plane-wave DFT calculation with PBE was carried out for a relaxed structure of InHgS.

Results
magnetization	0.000	Bohr magnetons per cell

Cell: 3.558 3.558 12.122 Å, 90.00 90.00 90.00°
Space group I4mm (No. 107)
Asymmetric unit:
In: 0.000 0.000 0.000 x2
Hg: 0.000 0.000 0.298 x2
S: 0.000 0.000 0.586 x2

---

Stability, lowest: *2*

---

*1*
A plane-wave DFT calculation with PBE was carried out for a relaxed structure of InHgS.

Results
magnetization	0.000	Bohr magnetons per cell

Cell: 3.949 5.925 8.913 Å, 108.04 90.09 109.44°
Space group P1 (No. 1)
Asymmetric unit:
In: 0.000 0.000 0.000 x1
In: 0.217 0.435 0.908 x1
Hg: 0.224 0.462 0.388 x1
Hg: 0.980 0.972 0.521 x1
S: 0.437 0.873 0.138 x1
S: 0.780 0.562 0.770 x1

---

*2*
A plane-wave DFT calculation with PBE was carried out for a relaxed structure of InHgS.

Results
magnetization	0.000	Bohr magnetons per cell

Cell: 3.9542 3.9542 5.5306 Å, 90.00 90.00 120.00°
Space group P3m1 (No. 156)
Asymmetric unit:
In: 0.0000 0.0000 0.0000 x1
Hg: 0.3333 0.6667 0.6344 x1
S: 0.6667 0.3333 0.2504 x1

---

Stability, lowest: *2*

---

*1*
A plane-wave DFT calculation with PBE was carried out for a relaxed structure of In2HgS3.

Results
magnetization	0.000	Bohr magnetons per cell

Cell: 9.045 3.814 11.467 Å, 90.00 105.23 90.00°
Space group P2_1/m (No. 11)
Asymmetric unit:
In: 0.045 0.250 0.131 x2
In: 0.132 0.750 0.453 x2
Hg: 0.473 0.750 0.128 x2
S: 0.139 0.250 0.936 x2
S: 0.161 0.250 0.613 x2
S: 0.228 0.250 0.328 x2

---

*2*
A plane-wave DFT calculation with PBE was carried out for a relaxed structure of In2HgS3.

Results
magnetization	0.000	Bohr magnetons per cell

Cell: 7.5471 7.5471 18.1354 Å, 90.00 90.00 120.00°
Space group R-3m (No. 166, hexagonal axes)
Asymmetric unit:
In: 0.0000 0.0000 0.0000 x3
In: 0.0000 0.5000 0.0000 x9
Hg: 0.0000 0.0000 0.2042 x6
S: 0.0080 0.5040 0.2542 x18

---

Stability, lowest: *2*

---

*1*
A plane-wave DFT calculation with PBE was carried out for a relaxed structure of In2Hg2S.

Results
magnetization	0.000	Bohr magnetons per cell

Cell: 3.9715 3.9715 28.9653 Å, 90.00 90.00 120.00°
Space group R-3m (No. 166, hexagonal axes)
Asymmetric unit:
In: 0.0000 0.0000 0.1080 x6
Hg: 0.0000 0.0000 0.2982 x6
S: 0.0000 0.0000 0.5000 x3

---

*2*
A plane-wave DFT calculation with PBE was carried out for a relaxed structure of In2Hg2S.

Results
magnetization	0.000	Bohr magnetons per cell

Cell: 7.333 7.333 5.130 Å, 90.00 90.00 90.00°
Space group P4/mbm (No. 127)
Asymmetric unit:
In: 0.151 0.349 0.000 x4
Hg: 0.167 0.667 0.500 x4
S: 0.000 0.000 0.000 x2

---

Stability, lowest: *2*

---

*1*
A plane-wave DFT calculation with PBE was carried out for a relaxed structure of TlInHgS.

Results
magnetization	0.000	Bohr magnetons per cell

Cell: 7.569 7.569 7.569 Å, 90.00 90.00 90.00°
Space group F-43m (No. 216)
Asymmetric unit:
Tl: 0.000 0.000 0.000 x4
In: 0.000 0.000 0.500 x4
Hg: 0.250 0.250 0.750 x4
S: 0.250 0.250 0.250 x4

---

*2*
A plane-wave DFT calculation with PBE was carried out for a relaxed structure of TlInHgS.

Results
magnetization	0.000	Bohr magnetons per cell

Cell: 4.035 4.037 8.599 Å, 76.49 89.86 60.14°
Space group P1 (No. 1)
Asymmetric unit:
Tl: 0.000 0.000 0.000 x1
In: 0.806 0.388 0.418 x1
Hg: 0.235 0.539 0.695 x1
S: 0.415 0.174 0.237 x1

---

Stability, lowest: *1*

---

*1*
A plane-wave DFT calculation with PBE was carried out for a relaxed structure of TlInHgS3.

Results
magnetization	0.000	Bohr magnetons per cell

Cell: 9.049 3.853 10.336 Å, 90.00 98.15 90.00°
Space group P2_1/m (No. 11)
Asymmetric unit:
Tl: 0.173 0.250 0.223 x2
In: 0.365 0.750 0.897 x2
Hg: 0.135 0.250 0.604 x2
S: 0.170 0.250 0.852 x2
S: 0.183 0.750 0.452 x2
S: 0.441 0.750 0.144 x2

---

*2*
A plane-wave DFT calculation with PBE was carried out for a relaxed structure of TlInHgS3.

Results
magnetization	0.000	Bohr magnetons per cell

Cell: 14.246 4.004 21.827 Å, 90.00 103.57 90.00°
Space group C2/c (No. 15)
Asymmetric unit:
Tl: 0.001 0.116 0.079 x8
In: 0.241 0.057 0.324 x8
Hg: 0.000 0.432 0.750 x4
Hg: 0.250 0.250 0.000 x4
S: 0.122 0.440 0.847 x8
S: 0.151 0.056 0.203 x8
S: 0.164 0.410 0.558 x8

---

Stability, lowest: *1*

---

*1*
A plane-wave DFT calculation with PBE was carried out for a relaxed structure of InHgSb.

Results
magnetization	0.000	Bohr magnetons per cell

Cell: 5.3137 5.3137 3.3377 Å, 90.00 90.00 120.00°
Space group P3m1 (No. 156)
Asymmetric unit:
In: 0.0000 0.0000 0.0000 x1
Hg: 0.3333 0.6667 0.5027 x1
Sb: 0.6667 0.3333 0.4958 x1

---

*2*
A plane-wave DFT calculation with PBE was carried out for a relaxed structure of InHgSb.

Results
magnetization	0.000	Bohr magnetons per cell

Cell: 3.260 5.382 9.378 Å, 90.00 90.00 90.00°
Space group Imm2 (No. 44)
Asymmetric unit:
In: 0.000 0.000 0.000 x2
Hg: 0.000 0.000 0.675 x2
Sb: 0.000 0.000 0.346 x2

---

*3*
A plane-wave DFT calculation with PBE was carried out for a relaxed structure of InHgSb.

Results
magnetization	0.000	Bohr magnetons per cell

Cell: 7.094 4.089 12.253 Å, 90.00 90.02 90.00°
Space group Cm (No. 8)
Asymmetric unit:
In: 0.000 0.000 0.000 x2
In: 0.167 0.500 0.174 x2
Hg: 0.167 0.500 0.840 x2
Hg: 0.335 0.000 0.335 x2
Sb: 0.003 0.000 0.519 x2
Sb: 0.336 0.000 0.663 x2

---

*4*
A plane-wave DFT calculation with PBE was carried out for a relaxed structure of InHgSb.

Results
magnetization	0.000	Bohr magnetons per cell

Cell: 3.903 3.903 10.551 Å, 90.00 90.00 90.00°
Space group I4mm (No. 107)
Asymmetric unit:
In: 0.000 0.000 0.000 x2
Hg: 0.000 0.000 0.331 x2
Sb: 0.000 0.000 0.663 x2

---

Stability, lowest: *4*